First-principles (PBE-GGA) data for a relaxed CaHRu crystal, as listed in the Alexandria database.

The structure in POSCAR format:
```
CaHRu
1.0
-4.184 -0.020 0.685
0.599 -2.913 3.617
0.758 2.710 5.051
H Ru Ca
2 2 2
direct
0.951 0.250 0.216 H
0.061 0.796 0.616 H
0.035 0.468 0.880 Ru
0.530 0.332 0.073 Ru
0.044 0.743 0.248 Ca
0.546 0.039 0.687 Ca
```

Properties
ρ   4487 kg/m³
Volume   52.6 Å³/f.u.
Total energy   -4.97 eV/atom
Size of the total moment   0.00 μB per formula unit

***

First-principles (PBE-GGA) data for a relaxed Tb4Dy3Er2 crystal, as listed in the Alexandria database.

The structure in POSCAR format:
```
Tb4Dy3Er2
1.0
6.060 -0.412 -0.734
-3.175 4.226 -3.095
-1.614 -0.856 12.591
Tb Er Dy
4 2 3
direct
0.889 0.777 0.666 Tb
0.111 0.223 0.334 Tb
0.333 0.667 0.000 Tb
0.667 0.333 0.000 Tb
0.222 0.444 0.666 Er
0.778 0.556 0.334 Er
0.555 0.110 0.666 Dy
0.445 0.890 0.334 Dy
0.000 0.000 0.000 Dy
```

Properties
ρ   8619 kg/m³
Volume   280.8 Å³/f.u.
Total energy   -4.59 eV/atom
Size of the total moment   0.00 μB per formula unit
DFT formation energy   1.6 kJ per mole of atoms

***

First-principles (PBE-GGA) data for a relaxed Sm2DyEr3Se6 crystal, as listed in the Alexandria database.

The structure in POSCAR format:
```
Sm2DyEr3Se6
1.0
-4.020 -0.099 -0.575
-0.181 -7.813 2.618
0.829 4.874 7.715
Se Dy Er Sm
6 1 3 2
direct
0.337 0.409 0.674 Se
0.003 0.749 0.006 Se
0.997 0.251 0.994 Se
0.334 0.925 0.667 Se
0.663 0.591 0.326 Se
0.666 0.075 0.333 Se
0.500 0.000 0.000 Dy
0.831 0.167 0.662 Er
0.169 0.833 0.338 Er
0.500 0.500 0.000 Er
0.832 0.664 0.664 Sm
0.168 0.336 0.336 Sm
```

Properties
ρ   8237 kg/m³
Volume   290.0 Å³/f.u.
Formation energy from raw total energies   -21.0 eV per formula unit
Total energy   -5.80 eV/atom
Size of the total moment   0.00 μB per formula unit

***

First-principles (PBE-GGA) data for a relaxed Nb2BiAu crystal, as listed in the Alexandria database.

The structure in POSCAR format:
```
Nb2BiAu
1.0
-2.751 -4.257 3.631
-3.492 -1.855 -4.820
1.183 -7.152 -2.136
Nb Bi Au
4 2 2
direct
0.164 0.625 0.250 Nb
0.875 0.836 0.750 Nb
0.375 0.414 0.750 Nb
0.586 0.125 0.250 Nb
0.750 0.250 0.500 Bi
0.000 0.000 0.000 Bi
0.250 0.750 0.500 Au
0.500 0.500 0.000 Au
```

Properties
ρ   8237 kg/m³
Volume   119.3 Å³/f.u.
Total energy   -5.69 eV/atom
Size of the total moment   0.00 μB per formula unit
DFT formation energy   109.5 kJ per mole of atoms

***

First-principles (PBE-GGA) data for a relaxed Pu4PaGe2 crystal, as listed in the Alexandria database.

The structure in POSCAR format:
```
Pu4PaGe2
1.0
5.521 0.000 0.000
0.000 5.521 0.000
-2.761 -2.761 4.816
Ge Pu Pa
2 4 1
direct
0.363 0.363 0.726 Ge
0.637 0.637 0.274 Ge
0.750 0.250 0.500 Pu
0.250 0.750 0.500 Pu
0.000 0.500 0.000 Pu
0.500 0.000 0.000 Pu
0.000 0.000 0.000 Pa
```

Properties
ρ   15295 kg/m³
Volume   146.8 Å³/f.u.
Total energy   -10.87 eV/atom
Size of the total moment   0.46 μB per formula unit
DFT formation energy   -0.5 kJ per mole of atoms

***

First-principles (PBE-GGA) data for a relaxed Nd7Sc crystal, as listed in the Alexandria database.

The structure in POSCAR format:
```
Nd7Sc
1.0
-7.076 1.409 0.730
-3.496 -2.018 6.024
-2.229 5.007 4.749
Nd Sc
7 1
direct
0.000 0.500 0.000 Nd
0.500 0.000 0.500 Nd
0.500 0.000 0.000 Nd
0.500 0.500 0.500 Nd
0.000 0.500 0.500 Nd
0.000 0.000 0.500 Nd
0.500 0.500 0.000 Nd
0.000 0.000 0.000 Sc
```

Properties
ρ   6494 kg/m³
Volume   269.7 Å³/f.u.
Total energy   -4.94 eV/atom
Size of the total moment   0.00 μB per formula unit
DFT formation energy   2.7 kJ per mole of atoms